[1]
{"formula": "MgZr2Br", "functional": "GGA-PBEsol", "state": "optimized geometry", "dos_at_fermi_per_ev_cell": 3.05, "polymorph_energy_ev_per_atom": 0.0000, "energy_ev_per_atom": -5.53, "density_g_cm3": 5.50, "vol_a3_per_fu": 86.6, "raw_formation_energy_ev_per_atom": -0.093, "lattice_angstrom": [[5.4797, -1.6194, 0.0000], [5.4797, 1.6194, 0.0000], [-1.9718, 0.0000, 4.8803]], "species": ["Mg", "Zr", "Zr", "Br"], "frac_coords": [[0.0000, 0.0000, 0.0000], [0.5375, 0.5375, 0.5249], [0.7844, 0.7844, 0.3361], [0.2444, 0.2444, 0.8561]]}

[2]
{"formula": "SrTa2Cd", "functional": "GGA-PBEsol", "state": "optimized geometry", "formation_energy_kcal_per_mol_atoms": 17.875, "dos_at_fermi_per_ev_cell": 4.54, "energy_ev_per_atom": -6.26, "density_g_cm3": 10.96, "vol_a3_per_fu": 85.2, "lattice_angstrom": [[2.9770, -5.4061, 0.0000], [2.9770, 5.4061, 0.0000], [-1.0416, 0.0000, 2.6460]], "species": ["Sr", "Ta", "Ta", "Cd"], "frac_coords": [[0.0000, 0.0000, 0.0000], [0.0000, 0.5000, 0.5000], [0.5000, 0.0000, 0.5000], [0.5000, 0.5000, 0.0000]]}

[3]
{"formula": "Li2AgBi", "functional": "GGA-PBEsol", "state": "optimized geometry", "formation_energy_kcal_per_mol_atoms": -8.027, "dos_at_fermi_per_ev_cell": 1.43, "polymorph_energy_ev_per_atom": 0.0242, "energy_ev_per_atom": -3.23, "density_g_cm3": 7.60, "vol_a3_per_fu": 72.2, "lattice_angstrom": [[0.0000, 3.3056, 3.3056], [3.3056, 0.0000, 3.3056], [3.3056, 3.3056, 0.0000]], "species": ["Li", "Li", "Ag", "Bi"], "frac_coords": [[0.2500, 0.2500, 0.2500], [0.7500, 0.7500, 0.7500], [0.0000, 0.0000, 0.0000], [0.5000, 0.5000, 0.5000]]}

[4]
{"formula": "Nb3WSe8", "functional": "GGA-PBEsol", "state": "optimized geometry", "dos_at_fermi_per_ev_cell": 7.24, "energy_ev_per_atom": -7.22, "density_g_cm3": 7.26, "vol_a3_per_fu": 250.2, "raw_formation_energy_ev_per_atom": -0.795, "lattice_angstrom": [[6.3708, -1.6921, 0.0000], [6.3708, 1.6921, 0.0000], [-1.7870, 0.0000, 11.6069]], "species": ["Nb", "Nb", "Nb", "W", "Se", "Se", "Se", "Se", "Se", "Se", "Se", "Se"], "frac_coords": [[0.0000, 0.0000, 0.0000], [0.5000, 0.5000, 0.2564], [0.5017, 0.5017, 0.7402], [0.0013, 0.0013, 0.5002], [0.1334, 0.1334, 0.8535], [0.1343, 0.1343, 0.3590], [0.3674, 0.3674, 0.0641], [0.3682, 0.3682, 0.5552], [0.6331, 0.6331, 0.1081], [0.6353, 0.6353, 0.5990], [0.8665, 0.8665, 0.3161], [0.8698, 0.8698, 0.8090]]}

[5]
{"formula": "RbTl2Cd2", "functional": "GGA-PBEsol", "state": "optimized geometry", "formation_energy_kcal_per_mol_atoms": -0.145, "dos_at_fermi_per_ev_cell": 4.20, "polymorph_energy_ev_per_atom": 0.0197, "energy_ev_per_atom": -1.74, "density_g_cm3": 8.28, "vol_a3_per_fu": 144.3, "lattice_angstrom": [[9.4107, 0.0000, 0.0000], [0.0000, 9.4107, 0.0000], [0.0000, 0.0000, 3.2578]], "species": ["Rb", "Rb", "Tl", "Tl", "Tl", "Tl", "Cd", "Cd", "Cd", "Cd"], "frac_coords": [[0.0000, 0.0000, 0.0000], [0.5000, 0.5000, 0.0000], [0.1415, 0.3585, 0.0000], [0.3585, 0.8585, 0.0000], [0.6415, 0.1415, 0.0000], [0.8585, 0.6415, 0.0000], [0.1496, 0.6496, 0.5000], [0.3504, 0.1496, 0.5000], [0.6496, 0.8504, 0.5000], [0.8504, 0.3504, 0.5000]]}

[6]
{"formula": "Cd2TeOs", "functional": "GGA-PBEsol", "state": "optimized geometry", "dos_at_fermi_per_ev_cell": 1.89, "energy_ev_per_atom": -3.89, "density_g_cm3": 11.80, "vol_a3_per_fu": 76.4, "raw_formation_energy_ev_per_atom": 0.642, "lattice_angstrom": [[-2.1657, 2.1657, 4.0705], [2.1657, -2.1657, 4.0705], [2.1657, 2.1657, -4.0705]], "species": ["Cd", "Cd", "Te", "Os"], "frac_coords": [[0.0000, 0.0000, 0.0000], [0.7500, 0.2500, 0.5000], [0.2500, 0.7500, 0.5000], [0.5000, 0.5000, 0.0000]]}

[7]
{"formula": "MgAuCl2", "functional": "GGA-PBEsol", "state": "optimized geometry", "dos_at_fermi_per_ev_cell": 0.94, "polymorph_energy_ev_per_atom": 0.1980, "energy_ev_per_atom": -2.89, "density_g_cm3": 5.55, "vol_a3_per_fu": 87.3, "raw_formation_energy_ev_per_atom": -0.474, "lattice_angstrom": [[0.0000, 3.7103, 3.7273], [3.1578, 0.0000, 3.7273], [3.1578, 3.7103, 0.0000]], "species": ["Mg", "Au", "Cl", "Cl"], "frac_coords": [[0.0000, 0.0000, 0.0000], [0.5000, 0.5000, 0.5000], [0.0000, 0.5000, 0.5000], [0.5000, 0.0000, 0.0000]]}

[8]
{"formula": "KZnPb2", "functional": "GGA-PBEsol", "state": "optimized geometry", "formation_energy_kcal_per_mol_atoms": 3.248, "dos_at_fermi_per_ev_cell": 2.16, "polymorph_energy_ev_per_atom": 0.0000, "energy_ev_per_atom": -2.54, "density_g_cm3": 7.87, "vol_a3_per_fu": 109.5, "lattice_angstrom": [[4.7954, 0.0000, 0.0000], [0.0000, 4.7954, 0.0000], [0.0000, 0.0000, 4.7638]], "species": ["K", "Zn", "Pb", "Pb"], "frac_coords": [[0.0000, 0.0000, 0.0000], [0.5000, 0.5000, 0.0000], [0.0000, 0.5000, 0.5000], [0.5000, 0.0000, 0.5000]]}

[9]
{"formula": "LaCuNi", "functional": "GGA-PBEsol", "state": "optimized geometry", "formation_energy_kcal_per_mol_atoms": -4.986, "dos_at_fermi_per_ev_cell": 1.92, "energy_ev_per_atom": -5.50, "density_g_cm3": 7.62, "vol_a3_per_fu": 56.9, "lattice_angstrom": [[4.1557, 0.0000, 0.0000], [-2.0779, 3.5990, 0.0000], [0.0000, 0.0000, 3.8074]], "species": ["La", "Cu", "Ni"], "frac_coords": [[0.0000, 0.0000, 0.0000], [0.6667, 0.3333, 0.5000], [0.3333, 0.6667, 0.5000]]}

[10]
{"formula": "Zn3Fe", "functional": "GGA-PBEsol", "state": "optimized geometry", "formation_energy_kcal_per_mol_atoms": 0.536, "dos_at_fermi_per_ev_cell": 1.68, "energy_ev_per_atom": -3.40, "density_g_cm3": 8.20, "vol_a3_per_fu": 51.0, "lattice_angstrom": [[4.1752, 2.4105, 0.8449], [-4.1752, 2.4105, 0.8449], [0.0000, -4.8211, 0.8449]], "species": ["Zn", "Zn", "Zn", "Fe"], "frac_coords": [[0.0000, 0.5000, 0.5000], [0.5000, 0.0000, 0.5000], [0.5000, 0.5000, 0.0000], [0.0000, 0.0000, 0.0000]]}

[11]
{"formula": "Ir2Se", "functional": "GGA-PBEsol", "state": "optimized geometry", "dos_at_fermi_per_ev_cell": 4.63, "polymorph_energy_ev_per_atom": 0.1721, "energy_ev_per_atom": -7.30, "density_g_cm3": 16.64, "vol_a3_per_fu": 46.2, "raw_formation_energy_ev_per_atom": 0.529, "lattice_angstrom": [[6.9452, 0.0000, 0.0000], [-3.4726, 6.0147, 0.0000], [0.0000, 0.0000, 3.3205]], "species": ["Ir", "Ir", "Ir", "Ir", "Ir", "Ir", "Se", "Se", "Se"], "frac_coords": [[0.0000, 0.3261, 0.0000], [0.0000, 0.6630, 0.5000], [0.3261, 0.0000, 0.0000], [0.3370, 0.3370, 0.5000], [0.6630, 0.0000, 0.5000], [0.6739, 0.6739, 0.0000], [0.0000, 0.0000, 0.5000], [0.3333, 0.6667, 0.0000], [0.6667, 0.3333, 0.0000]]}

[12]
{"formula": "BaLi2Ag", "functional": "GGA-PBEsol", "state": "optimized geometry", "formation_energy_kcal_per_mol_atoms": -1.193, "dos_at_fermi_per_ev_cell": 2.44, "polymorph_energy_ev_per_atom": 0.0510, "energy_ev_per_atom": -2.40, "density_g_cm3": 4.12, "vol_a3_per_fu": 104.4, "lattice_angstrom": [[3.7223, 0.0000, 0.0000], [0.0000, 3.7223, 0.0000], [0.0000, 0.0000, 7.5350]], "species": ["Ba", "Li", "Li", "Ag"], "frac_coords": [[0.0000, 0.0000, 0.0000], [0.0000, 0.0000, 0.5581], [0.5000, 0.5000, 0.3646], [0.5000, 0.5000, 0.7128]]}

What did the tenth record say?
{"formula": "Zn3Fe", "functional": "GGA-PBEsol", "state": "optimized geometry", "formation_energy_kcal_per_mol_atoms": 0.536, "dos_at_fermi_per_ev_cell": 1.68, "energy_ev_per_atom": -3.40, "density_g_cm3": 8.20, "vol_a3_per_fu": 51.0, "lattice_angstrom": [[4.1752, 2.4105, 0.8449], [-4.1752, 2.4105, 0.8449], [0.0000, -4.8211, 0.8449]], "species": ["Zn", "Zn", "Zn", "Fe"], "frac_coords": [[0.0000, 0.5000, 0.5000], [0.5000, 0.0000, 0.5000], [0.5000, 0.5000, 0.0000], [0.0000, 0.0000, 0.0000]]}

What did the second record say?
{"formula": "SrTa2Cd", "functional": "GGA-PBEsol", "state": "optimized geometry", "formation_energy_kcal_per_mol_atoms": 17.875, "dos_at_fermi_per_ev_cell": 4.54, "energy_ev_per_atom": -6.26, "density_g_cm3": 10.96, "vol_a3_per_fu": 85.2, "lattice_angstrom": [[2.9770, -5.4061, 0.0000], [2.9770, 5.4061, 0.0000], [-1.0416, 0.0000, 2.6460]], "species": ["Sr", "Ta", "Ta", "Cd"], "frac_coords": [[0.0000, 0.0000, 0.0000], [0.0000, 0.5000, 0.5000], [0.5000, 0.0000, 0.5000], [0.5000, 0.5000, 0.0000]]}